Computed, not measured: HfZr2InB after structural relaxation at the PBE-GGA level of DFT.

The structure belongs to space group P4/mmm (No. 123); the cell edges are 4.669, 4.669 and 4.612 Å and the angles 90.00°, 90.00° and 90.00°. The distinct sites, in fractional coordinates, are Hf at (0.000, 0.000, 0.000), Zr at (0.000, 0.500, 0.500), In at (0.500, 0.500, 0.000) and B at (0.000, 0.000, 0.500).

Its formation energy is -401 meV per atom. The value obtained for the electronic total energy is -38.47 eV per cell.